No. 1
## Dy2Si3Ni12Pt (PBE)

Data for a geometry-optimized Dy2Si3Ni12Pt structure.

Summary:
**DFT total energy**: -102.86 eV/cell
**Calculated volume**: 13.6 Å³/atom
**Formation energy (no corrections)**: -0.1092 eV per atom

abc: 6.282 6.282 6.282
angles: 85.44 85.44 85.44
Fractional positions:
Dy 0.676 0.676 0.676
Dy 0.324 0.324 0.324
Si 0.500 0.000 0.000
Si 0.000 0.500 0.000
Si 0.000 0.000 0.500
Ni 0.391 0.391 0.892
Ni 0.808 0.808 0.305
Ni 0.305 0.808 0.808
Ni 0.892 0.391 0.391
Ni 0.808 0.305 0.808
Ni 0.391 0.892 0.391
Ni 0.609 0.609 0.108
Ni 0.192 0.192 0.695
Ni 0.695 0.192 0.192
Ni 0.108 0.609 0.609
Ni 0.192 0.695 0.192
Ni 0.609 0.108 0.609
Pt 0.000 0.000 0.000



No. 2
## TeP3 (PBE)

Data for a geometry-optimized TeP3 structure.

Summary:
**DFT total energy**: -36.55 eV/cell
**Calculated volume**: 30.9 Å³/atom
**Formation energy (no corrections)**: 0.2738 eV per atom

abc: 8.755 8.755 4.482
angles: 90.00 90.00 134.02
Fractional positions:
Te 0.384 0.616 0.750
Te 0.616 0.384 0.250
P 0.129 0.871 0.250
P 0.871 0.129 0.750
P 0.451 0.009 0.250
P 0.549 0.991 0.750
P 0.991 0.549 0.250
P 0.009 0.451 0.750



No. 3
## Sm3Tm2Se6 (PBE)

Data for a geometry-optimized Sm3Tm2Se6 structure.

Summary:
**DFT total energy**: -63.81 eV/cell
**Calculated volume**: 27.5 Å³/atom
**Formation energy (no corrections)**: -1.8003 eV per atom

abc: 4.121 4.121 20.727
angles: 84.29 84.29 60.00
Fractional positions:
Sm 0.000 0.000 0.000
Sm 0.278 0.278 0.166
Sm 0.722 0.722 0.834
Tm 0.447 0.447 0.658
Tm 0.553 0.553 0.342
Se 0.085 0.085 0.746
Se 0.915 0.915 0.254
Se 0.197 0.197 0.408
Se 0.803 0.803 0.592
Se 0.361 0.361 0.916
Se 0.639 0.639 0.084



No. 4
## La2PbS4 (PBE)

Data for a geometry-optimized La2PbS4 structure.

Summary:
**DFT total energy**: -83.36 eV/cell
**Calculated volume**: 28.4 Å³/atom
**Formation energy (no corrections)**: -1.6580 eV per atom

abc: 4.159 7.184 13.923
angles: 90.00 90.00 106.82
Fractional positions:
La 0.134 0.268 0.429
La 0.866 0.732 0.929
La 0.134 0.268 0.071
La 0.866 0.732 0.571
Pb 0.611 0.222 0.750
Pb 0.389 0.778 0.250
S 0.768 0.537 0.114
S 0.768 0.537 0.386
S 0.232 0.463 0.886
S 0.232 0.463 0.614
S 0.970 0.940 0.750
S 0.030 0.060 0.250
S 0.500 0.000 0.000
S 0.500 0.000 0.500



Question: The lowest formation energy (no corrections) belongs to which entry?
Answer: Sm3Tm2Se6